Computed, not measured: an optimized crystal structure of KSrNi2 at the GGA-PBE level of DFT.

The space group is Fm-3m (No. 225) and the conventional cell measures 7.3908, 7.3908 and 7.3908 Å, with angles of 90.00, 90.00 and 90.00 degrees. The distinct sites, in fractional coordinates, are K at (0.0000, 0.0000, 0.0000), Sr at (0.0000, 0.0000, 0.5000) and Ni at (0.2500, 0.2500, 0.2500).

The value obtained for the energy above the most stable polymorph in this dataset is 190 kJ/mol of formula units. Its total energy is -47.0 eV/cell.



Computed, not measured: an optimized crystal structure of TmPaSiPd at the GGA-PBE level of DFT.

The space group is F-43m (No. 216) and the conventional cell measures 7.0041, 7.0041 and 7.0041 Å, with angles of 90.00, 90.00 and 90.00 degrees. The distinct sites, in fractional coordinates, are Tm at (0.0000, 0.0000, 0.0000), Pa at (0.0000, 0.0000, 0.5000), Si at (0.2500, 0.2500, 0.2500) and Pd at (0.2500, 0.2500, 0.7500).

Its total energy is -104.9 eV/cell.



Computed, not measured: an optimized crystal structure of Er5BiTe4 at the GGA-PBE level of DFT.

The space group is I4/mmm (No. 139) and the conventional cell measures 4.3467, 4.3467 and 30.6613 Å, with angles of 90.00, 90.00 and 90.00 degrees. The distinct sites, in fractional coordinates, are Er at (0.0000, 0.0000, 0.0000), Er at (0.0000, 0.0000, 0.2007), Er at (0.0000, 0.0000, 0.3994), Bi at (0.0000, 0.0000, 0.5000), Te at (0.0000, 0.0000, 0.1007) and Te at (0.0000, 0.0000, 0.3000).

Its total energy is -101.3 eV/cell.



Computed, not measured: an optimized crystal structure of CaZrW2 at the GGA-PBE level of DFT.

The space group is C2/m (No. 12) and the conventional cell measures 5.8260, 9.9850 and 2.7591 Å, with angles of 90.00, 102.92 and 90.00 degrees. The distinct sites, in fractional coordinates, are Ca at (0.0000, 0.0000, 0.0000), Zr at (0.0000, 0.5000, 0.0000) and W at (0.2500, 0.2500, 0.5000).

The value obtained for the energy above the most stable polymorph in this dataset is 119 kJ/mol of formula units. Its total energy is -67.3 eV/cell.



Computed, not measured: an optimized crystal structure of BeReBr2 at the GGA-PBE level of DFT.

The space group is Cmmm (No. 65) and the conventional cell measures 6.5210, 6.5373 and 3.0839 Å, with angles of 90.00, 90.00 and 90.00 degrees. The distinct sites, in fractional coordinates, are Be at (0.0000, 0.0000, 0.0000), Re at (0.0000, 0.5000, 0.0000) and Br at (0.2500, 0.2500, 0.5000).

The value obtained for the energy above the most stable polymorph in this dataset is 466 kJ/mol of formula units. Its total energy is -28.1 eV/cell.



Computed, not measured: an optimized crystal structure of CeDy2Pb at the GGA-PBE level of DFT.

The space group is P4/mmm (No. 123) and the conventional cell measures 4.0444, 4.0444 and 7.1233 Å, with angles of 90.00, 90.00 and 90.00 degrees. The distinct sites, in fractional coordinates, are Ce at (0.0000, 0.0000, 0.0000), Dy at (0.5000, 0.5000, 0.2695) and Pb at (0.0000, 0.0000, 0.5000).

The value obtained for the energy above the most stable polymorph in this dataset is 40 kJ/mol of formula units. Its total energy is -19.5 eV/cell.



Computed, not measured: an optimized crystal structure of NiW2Se at the GGA-PBE level of DFT.

The space group is I-42d (No. 122) and the conventional cell measures 5.3649, 5.3649 and 11.4765 Å, with angles of 90.00, 90.00 and 90.00 degrees. The distinct sites, in fractional coordinates, are Ni at (0.0000, 0.0000, 0.0000), W at (0.2151, 0.2500, 0.1250) and Se at (0.0000, 0.0000, 0.5000).

Its total energy is -121.5 eV/cell.



Computed, not measured: an optimized crystal structure of MoAs2P at the GGA-PBE level of DFT.

The space group is Immm (No. 71) and the conventional cell measures 3.4821, 4.4957 and 8.1686 Å, with angles of 90.00, 90.00 and 90.00 degrees. The distinct sites, in fractional coordinates, are Mo at (0.0000, 0.0000, 0.0000), As at (0.0000, 0.5000, 0.2202) and P at (0.0000, 0.0000, 0.5000).

Its total energy is -48.5 eV/cell.



Computed, not measured: an optimized crystal structure of NaLaYMg at the GGA-PBE level of DFT.

The space group is F-43m (No. 216) and the conventional cell measures 7.9455, 7.9455 and 7.9455 Å, with angles of 90.00, 90.00 and 90.00 degrees. The distinct sites, in fractional coordinates, are Na at (0.0000, 0.0000, 0.0000), La at (0.2500, 0.2500, 0.2500), Y at (0.2500, 0.2500, 0.7500) and Mg at (0.0000, 0.0000, 0.5000).

Its total energy is -55.0 eV/cell.



Computed, not measured: an optimized crystal structure of Ho4ErBi3 at the GGA-PBE level of DFT.

The space group is Immm (No. 71) and the conventional cell measures 4.2736, 4.8206 and 22.4706 Å, with angles of 90.00, 90.00 and 90.00 degrees. The distinct sites, in fractional coordinates, are Ho at (0.0000, 0.0000, 0.1188), Ho at (0.0000, 0.5000, 0.2549), Er at (0.0000, 0.5000, 0.0000), Bi at (0.0000, 0.0000, 0.3585) and Bi at (0.0000, 0.5000, 0.5000).

Its total energy is -77.7 eV/cell.



Computed, not measured: an optimized crystal structure of TaZnCuIr at the GGA-PBE level of DFT.

The space group is F-43m (No. 216) and the conventional cell measures 6.1929, 6.1929 and 6.1929 Å, with angles of 90.00, 90.00 and 90.00 degrees. The distinct sites, in fractional coordinates, are Ta at (0.0000, 0.0000, 0.0000), Zn at (0.0000, 0.0000, 0.5000), Cu at (0.2500, 0.2500, 0.2500) and Ir at (0.2500, 0.2500, 0.7500).

Its total energy is -108.0 eV/cell.



Computed, not measured: an optimized crystal structure of PmY4PbS8 at the GGA-PBE level of DFT.

The space group is R3m (No. 160, hexagonal axes) and the conventional cell measures 8.1576, 8.1576 and 20.2780 Å, with angles of 90.00, 90.00 and 120.00 degrees. The distinct sites, in fractional coordinates, are Pm at (0.0000, 0.0000, 0.0000), Y at (0.0000, 0.0000, 0.3764), Y at (0.0045, 0.5023, 0.5027), Pb at (0.0000, 0.0000, 0.6281), S at (0.0000, 0.0000, 0.2441), S at (0.0000, 0.0000, 0.7666), S at (0.0170, 0.5085, 0.7564) and S at (0.1822, 0.3644, 0.5786).

Its total energy is -276.3 eV/cell.